(1)
Entry from Alexandria: a relaxed Sm2Pd3Au3 crystal (PBE).

Cell: 4.2615 4.3271 8.4969 Å, 90.00 90.00 90.00°
Sites, in units of the cell vectors:
Au (0.0000, 0.5000, 0.5000)
Au (0.0000, 0.5000, 0.0000)
Au (0.5000, 0.0000, 0.5000)
Pd (0.5000, 0.0000, 0.0000)
Pd (0.5000, 0.5000, 0.2468)
Pd (0.5000, 0.5000, 0.7532)
Sm (0.0000, 0.0000, 0.7539)
Sm (0.0000, 0.0000, 0.2461)

Calculated values
VASP energy = -5.027 eV/atom
energy of formation from the pure elements = -0.671 eV/atom

(2)
Entry from Alexandria: a relaxed As3Cl crystal (PBE).

Cell: 4.7733 4.7733 4.7733 Å, 120.01 120.01 89.97°
Sites, in units of the cell vectors:
As (0.7500, 0.2500, 0.5000)
As (0.5000, 0.5000, 0.0000)
As (0.2500, 0.7500, 0.5000)
Cl (0.0000, 0.0000, 0.0000)

Calculated values
VASP energy = -3.553 eV/atom
uncorrected formation energy = 38.2 kJ per mole of atoms
E above lowest polymorph = 0.389 eV/atom

(3)
Entry from Alexandria: a relaxed PmHoLu2 crystal (PBE).

Cell: 3.5318 3.5318 9.9306 Å, 90.00 90.00 90.00°
Sites, in units of the cell vectors:
Ho (0.5000, 0.5000, 0.5000)
Pm (0.5000, 0.5000, 0.0000)
Lu (0.0000, 0.0000, 0.7460)
Lu (0.0000, 0.0000, 0.2540)

Calculated values
VASP energy = -4.561 eV/atom
E above lowest polymorph = 0.002 eV/atom
energy of formation from the pure elements = 0.031 eV/atom

(4)
Entry from Alexandria: a relaxed Ag4SCl crystal (PBE).

Cell: 4.1943 7.9749 8.1681 Å, 89.28 75.22 105.33°
Sites, in units of the cell vectors:
S (0.2830, 0.2089, 0.6415)
S (0.7170, 0.7911, 0.3585)
Ag (0.6243, 0.0705, 0.8206)
Ag (0.5153, 0.3855, 0.3619)
Ag (0.9398, 0.8336, 0.9519)
Ag (0.8409, 0.1158, 0.4347)
Ag (0.0602, 0.1664, 0.0481)
Ag (0.4847, 0.6145, 0.6381)
Ag (0.3757, 0.9295, 0.1794)
Ag (0.1591, 0.8842, 0.5653)
Cl (0.8559, 0.5434, 0.8284)
Cl (0.1441, 0.4566, 0.1716)

Calculated values
VASP energy = -2.963 eV/atom
uncorrected formation energy = -6.5 kJ per mole of atoms
E above lowest polymorph = 0.000 eV/atom

(5)
Entry from Alexandria: a relaxed HoHf2Pd9 crystal (PBE).

Cell: 4.0417 4.0417 12.1414 Å, 90.00 90.00 90.00°
Sites, in units of the cell vectors:
Ho (0.0000, 0.0000, 0.0000)
Pd (0.5000, 0.5000, 0.3373)
Pd (0.0000, 0.5000, 0.5000)
Pd (0.5000, 0.5000, 0.0000)
Pd (0.0000, 0.5000, 0.8252)
Pd (0.5000, 0.0000, 0.5000)
Pd (0.5000, 0.0000, 0.8252)
Pd (0.0000, 0.5000, 0.1748)
Pd (0.5000, 0.5000, 0.6627)
Pd (0.5000, 0.0000, 0.1748)
Hf (0.0000, 0.0000, 0.3333)
Hf (0.0000, 0.0000, 0.6667)

Calculated values
VASP energy = -6.844 eV/atom
energy of formation from the pure elements = -0.909 eV/atom

(6)
Entry from Alexandria: a relaxed Pm2PuNi crystal (PBE).

Cell: 3.6061 3.6061 10.5999 Å, 80.21 80.21 60.00°
Last column: magnetic moment on the atom in μB.
Sites, in units of the cell vectors:
Ni (0.5000, 0.5000, 0.5000)  0.03
Pm (0.8911, 0.8911, 0.3266)  0.02
Pm (0.1089, 0.1089, 0.6734)  0.02
Pu (0.0000, 0.0000, 0.0000)  5.80

Calculated values
VASP energy = -7.176 eV/atom
E above lowest polymorph = 0.243 eV/atom
energy of formation from the pure elements = 0.228 eV/atom

(7)
Entry from Alexandria: a relaxed CeNdNi2Ge2 crystal (PBE).

Cell: 4.1781 4.1781 7.9057 Å, 90.00 90.00 120.00°
Sites, in units of the cell vectors:
Ge (0.3333, 0.6667, 0.7440)
Ge (0.6667, 0.3333, 0.2560)
Ni (0.6667, 0.3333, 0.7393)
Ni (0.3333, 0.6667, 0.2607)
Nd (0.0000, 0.0000, 0.0000)
Ce (0.0000, 0.0000, 0.5000)

Calculated values
VASP energy = -5.969 eV/atom
energy of formation from the pure elements = -0.720 eV/atom

(8)
Entry from Alexandria: a relaxed ZnGaPb2O6 crystal (PBE).

Cell: 5.5212 5.5215 5.8352 Å, 61.78 61.78 60.01°
Sites, in units of the cell vectors:
O (0.9741, 0.5914, 0.2459)
O (0.1088, 0.4322, 0.7663)
O (0.1887, 0.9741, 0.2458)
O (0.6928, 0.1090, 0.7660)
O (0.4323, 0.6928, 0.7660)
O (0.5914, 0.1887, 0.2457)
Ga (0.3161, 0.3163, 0.0514)
Zn (0.8011, 0.8010, 0.5970)
Pb (0.0223, 0.0223, 0.9331)
Pb (0.5340, 0.5340, 0.3979)

Calculated values
VASP energy = -5.320 eV/atom
uncorrected formation energy = -113.2 kJ per mole of atoms

(9)
Entry from Alexandria: a relaxed ZnRe2Ir crystal (PBE).

Cell: 2.7651 3.9144 5.4025 Å, 90.00 90.00 90.00°
Sites, in units of the cell vectors:
Re (0.0000, 0.0000, 0.0132)
Re (0.5000, 0.5000, 0.2444)
Ir (0.5000, 0.5000, 0.7336)
Zn (0.0000, 0.0000, 0.5088)

Calculated values
VASP energy = -8.710 eV/atom
E above lowest polymorph = 0.051 eV/atom
energy of formation from the pure elements = 0.048 eV/atom

(10)
Entry from Alexandria: a relaxed Li5CaAg7 crystal (PBE).

Cell: 5.2495 7.1668 7.1668 Å, 82.79 68.52 68.52°
Sites, in units of the cell vectors:
Li (0.4990, 0.4953, 0.0027)
Li (0.7241, 0.7759, 0.7759)
Li (0.0031, 0.4953, 0.0027)
Li (0.4990, 0.0027, 0.4953)
Li (0.0031, 0.0027, 0.4953)
Ag (0.5031, 0.7782, 0.2156)
Ag (0.2855, 0.2145, 0.2145)
Ag (0.9982, 0.6509, 0.3526)
Ag (0.9982, 0.3526, 0.6509)
Ag (0.6462, 0.3538, 0.3538)
Ag (0.3435, 0.6565, 0.6565)
Ag (0.5031, 0.2156, 0.7782)
Ca (0.9939, 0.0061, 0.0061)

Calculated values
VASP energy = -2.591 eV/atom
energy of formation from the pure elements = -0.166 eV/atom

(11)
Entry from Alexandria: a relaxed Tb2Sm3Y5 crystal (PBE).

Cell: 9.3893 9.3845 11.1308 Å, 124.38 124.39 70.16°
Sites, in units of the cell vectors:
Sm (0.2279, 0.9779, 0.9559)
Sm (0.7274, 0.4734, 0.2491)
Sm (0.9784, 0.2243, 0.7509)
Sm (0.2726, 0.5266, 0.7509)
Sm (0.7721, 0.0221, 0.0441)
Sm (0.0216, 0.7757, 0.2491)
Tb (0.2271, 0.9808, 0.2532)
Tb (0.5261, 0.2724, 0.2532)
Tb (0.7729, 0.0192, 0.7468)
Tb (0.4739, 0.7276, 0.7468)
Y (0.8677, 0.6177, 0.7441)
Y (0.3764, 0.1264, 0.7441)
Y (0.5259, 0.2759, 0.5519)
Y (0.9761, 0.2261, 0.4523)
Y (0.4741, 0.7240, 0.4481)
Y (0.2740, 0.5240, 0.0480)
Y (0.0239, 0.7739, 0.5477)
Y (0.6236, 0.8736, 0.2559)
Y (0.7260, 0.4760, 0.9520)
Y (0.1323, 0.3823, 0.2559)

Calculated values
VASP energy = -5.387 eV/atom
E above lowest polymorph = 0.000 eV/atom
energy of formation from the pure elements = 0.187 eV/atom

(12)
Entry from Alexandria: a relaxed MnPtBr crystal (PBE).

Cell: 3.4530 3.4530 5.7451 Å, 90.00 90.00 120.00°
Last column: magnetic moment on the atom in μB.
Sites, in units of the cell vectors:
Mn (0.6667, 0.3333, 0.3479)  3.64
Br (0.0000, 0.0000, 0.0411)  -0.01
Pt (0.3333, 0.6667, 0.6110)  0.16

Calculated values
VASP energy = -5.657 eV/atom
uncorrected formation energy = -2.8 kJ per mole of atoms
E above lowest polymorph = 0.000 eV/atom

Which value of VASP energy does entry 5 give?
-6.844 eV/atom

The highest VASP energy belongs to which entry?
Li5CaAg7